Entry 1:
Na2CrFePt | PBE-GGA | optimized geometry

POSCAR file:
```
Na2CrFePt
1.0
5.014 0.000 0.000
0.000 5.014 0.000
0.000 0.000 4.151
Na Cr Fe Pt
2 1 1 1
Direct
0.000 0.500 0.000
0.500 0.000 0.000
0.000 0.000 0.000
0.000 0.000 0.500
0.500 0.500 0.500
```

Computed properties:
D(E_F) ... 0.686 states/eV/atom
Crystal system ... tetragonal
SG ... P4/mmm
Total DFT energy (no corrections) ... -3.960 eV/atom
DFT formation energy ... 134.4 kJ per mole of atoms



Entry 2:
RbNa2CrFe | PBE-GGA | optimized geometry

POSCAR file:
```
RbNa2CrFe
1.0
5.660 0.000 0.000
0.000 5.660 0.000
0.000 0.000 5.779
Rb Na Cr Fe
1 2 1 1
Direct
0.000 0.000 0.000
0.000 0.500 0.000
0.500 0.000 0.000
0.000 0.000 0.500
0.500 0.500 0.500
```

Computed properties:
D(E_F) ... 2.075 states/eV/atom
Crystal system ... tetragonal
SG ... P4/mmm
Total DFT energy (no corrections) ... -2.253 eV/atom
DFT formation energy ... 201.2 kJ per mole of atoms



Entry 3:
Na3Cr3FeS8 | PBE-GGA | optimized geometry

POSCAR file:
```
Na3Cr3FeS8
1.0
3.506 2.024 6.617
-3.506 2.024 6.617
0.000 -4.049 6.617
Na Cr Fe S
3 3 1 8
Direct
0.000 0.500 0.500
0.500 0.000 0.500
0.500 0.500 0.000
0.000 0.000 0.500
0.000 0.500 0.000
0.500 0.000 0.000
0.500 0.500 0.500
0.233 0.233 0.233
0.238 0.727 0.727
0.273 0.273 0.762
0.273 0.762 0.273
0.727 0.238 0.727
0.727 0.727 0.238
0.762 0.273 0.273
0.767 0.767 0.767
```

Computed properties:
D(E_F) ... 0.730 states/eV/atom
Crystal system ... trigonal
Formation energy without anion corrections ... -0.80 eV per atom
SG ... R-3m
Total DFT energy (no corrections) ... -5.750 eV/atom